Entry 1:
This record from OQMD describes CdFeGe after structural relaxation. The functional is GGA-PBE.

a = 6.257 Å, b = 6.257 Å, c = 6.257 Å
α = 90.00°, β = 90.00°, γ = 90.00°
Space group F-43m (No. 216)
One atom of each set of equivalent atoms:
Cd (0.000, 0.000, 0.000) [4 per cell]
Fe (0.250, 0.250, 0.750) [4 per cell]
Ge (0.250, 0.250, 0.250) [4 per cell]

## Properties
DFT total energy (eV/atom): -3.87
Density (g/cm³): 6.532

Entry 2:
This record from OQMD describes Na3ZnF6 after structural relaxation. The functional is GGA-PBE.

a = 5.344 Å, b = 5.662 Å, c = 9.243 Å
α = 90.00°, β = 124.16°, γ = 90.00°
Space group P2_1/c (No. 14)
One atom of each set of equivalent atoms:
Na (0.000, 0.000, 0.000) [2 per cell]
Na (0.220, 0.071, 0.744) [4 per cell]
Zn (0.500, 0.000, 0.500) [2 per cell]
F (0.147, 0.181, 0.443) [4 per cell]
F (0.252, 0.713, 0.422) [4 per cell]
F (0.400, 0.063, 0.266) [4 per cell]

## Properties
Energy relative to the lowest polymorph listed for this composition (eV per atom): 0.000
Density (g/cm³): 3.564

Entry 3:
This record from OQMD describes ZrBeHg2 after structural relaxation. The functional is GGA-PBE.

a = 6.717 Å, b = 6.717 Å, c = 6.717 Å
α = 90.00°, β = 90.00°, γ = 90.00°
Space group F-43m (No. 216)
One atom of each set of equivalent atoms:
Zr (0.000, 0.000, 0.000) [4 per cell]
Be (0.250, 0.250, 0.750) [4 per cell]
Hg (0.000, 0.000, 0.500) [4 per cell]
Hg (0.250, 0.250, 0.250) [4 per cell]

## Properties
DFT total energy (eV/atom): -2.94
Density (g/cm³): 10.989

Entry 4:
This record from OQMD describes GePd124 after structural relaxation. The functional is GGA-PBE.

a = 19.763 Å, b = 19.763 Å, c = 19.763 Å
α = 90.00°, β = 90.00°, γ = 90.00°
Space group Fm-3m (No. 225)
One atom of each set of equivalent atoms:
Ge (0.000, 0.000, 0.000) [4 per cell]
Pd (0.000, 0.000, 0.201) [24 per cell]
Pd (0.000, 0.000, 0.400) [24 per cell]
Pd (0.000, 0.099, 0.099) [48 per cell]
Pd (0.000, 0.100, 0.300) [96 per cell]
Pd (0.000, 0.200, 0.200) [48 per cell]
Pd (0.100, 0.100, 0.200) [96 per cell]
Pd (0.100, 0.100, 0.400) [32 per cell]
Pd (0.100, 0.200, 0.300) [96 per cell]
Pd (0.200, 0.200, 0.200) [32 per cell]

## Properties
DFT total energy (eV/atom): -5.19
Density (g/cm³): 11.417

Entry 5:
This record from OQMD describes Y3Tm2Lu2Ni2Te2 after structural relaxation. The functional is GGA-PBE.

a = 3.836 Å, b = 15.451 Å, c = 9.509 Å
α = 90.00°, β = 90.00°, γ = 90.00°
Space group Imm2 (No. 44)
One atom of each set of equivalent atoms:
Y (0.000, 0.000, 0.000) [2 per cell]
Y (0.000, 0.132, 0.418) [4 per cell]
Tm (0.000, 0.352, 0.271) [4 per cell]
Lu (0.000, 0.314, 0.620) [4 per cell]
Ni (0.000, 0.236, 0.929) [4 per cell]
Te (0.000, 0.000, 0.666) [2 per cell]
Te (0.000, 0.500, 0.763) [2 per cell]

## Properties
Energy relative to the lowest polymorph listed for this composition (eV per atom): 0.003
Density (g/cm³): 7.819

Entry 6:
This record from OQMD describes HfB4Au after structural relaxation. The functional is GGA-PBE.

a = 3.1167 Å, b = 3.1167 Å, c = 7.4642 Å
α = 90.00°, β = 90.00°, γ = 120.00°
Space group P6/mmm (No. 191)
One atom of each set of equivalent atoms:
Hf (0.0000, 0.0000, 0.0000) [1 per cell]
B (0.3333, 0.6667, 0.2281) [4 per cell]
Au (0.0000, 0.0000, 0.5000) [1 per cell]

## Properties
Energy relative to the lowest polymorph listed for this composition (eV per atom): 0.090
Density (g/cm³): 11.072